No. 1
The following is a PBE calculation of a relaxed structure of YRu2, from Alexandria.

- E_form (eV per atom) = 0.001
- DOS at the Fermi energy (states/eV/cell) = 6.60
- symmetry = P6_3/mmc (194)
- ρ (g cm⁻³) = 8.4

a = 4.2877 Å, b = 4.2877 Å, c = 7.1873 Å
α = 90.00°, β = 90.00°, γ = 120.00°
With the nearest neighbours (Å) after each atom.
Atoms (fractional coordinates):
Y1 0.0000 0.0000 0.2500  6 Ru 2.88
Y2 0.0000 0.0000 0.7500  6 Ru 2.88
Ru1 0.3333 0.6667 0.0459  3 Ru 2.56
Ru2 0.3333 0.6667 0.4541  3 Ru 2.56
Ru3 0.6667 0.3333 0.5459  3 Ru 2.56
Ru4 0.6667 0.3333 0.9541  3 Ru 2.56

---

No. 2
The following is a PBE calculation of a relaxed structure of Y3Ru, from Alexandria.

- E_form (eV per atom) = 0.192
- DOS at the Fermi energy (states/eV/cell) = 4.05
- symmetry = Pm-3m (221)
- ρ (g cm⁻³) = 3.8

a = 5.4171 Å, b = 5.4171 Å, c = 5.4171 Å
α = 90.00°, β = 90.00°, γ = 90.00°
With the nearest neighbours (Å) after each atom.
Atoms (fractional coordinates):
Y1 0.0000 0.0000 0.5000  2 Ru 2.71
Y2 0.0000 0.5000 0.0000  2 Ru 2.71
Y3 0.5000 0.0000 0.0000  2 Ru 2.71
Ru1 0.0000 0.0000 0.0000  6 Y 2.71

---

No. 3
The following is a PBE calculation of a relaxed structure of YRu2, from Alexandria.

- E_form (eV per atom) = 0.355
- DOS at the Fermi energy (states/eV/cell) = 9.66
- symmetry = Pnnm (58)
- ρ (g cm⁻³) = 9.2

a = 2.9110 Å, b = 7.8268 Å, c = 4.6314 Å
α = 90.00°, β = 90.00°, γ = 90.00°
With the nearest neighbours (Å) after each atom.
Atoms (fractional coordinates):
Y1 0.0000 0.0000 0.0000  6 Ru 2.75-2.76, 2 Y 2.91
Y2 0.5000 0.5000 0.5000  6 Ru 2.75-2.76, 2 Y 2.91
Ru1 0.2070 0.3441 0.0000  4 Ru 2.72-2.98, 3 Y 2.75-2.76
Ru2 0.2930 0.8441 0.5000  4 Ru 2.72-2.98, 3 Y 2.75-2.76
Ru3 0.7070 0.1559 0.5000  4 Ru 2.72-2.98, 3 Y 2.75-2.76
Ru4 0.7930 0.6559 0.0000  4 Ru 2.72-2.98, 3 Y 2.75-2.76

---

No. 4
The following is a PBE calculation of a relaxed structure of Y3Ru, from Alexandria.

- E_form (eV per atom) = -0.207
- DOS at the Fermi energy (states/eV/cell) = 3.57
- symmetry = Immm (71)
- ρ (g cm⁻³) = 5.8

a = 6.3450 Å, b = 6.3450 Å, c = 6.3450 Å
α = 147.11°, β = 130.49°, γ = 60.72°
With the nearest neighbours (Å) after each atom.
Atoms (fractional coordinates):
Y1 0.0000 0.0000 0.0000  4 Ru 3.21, 4 Y 3.42
Y2 0.3035 0.8035 0.5000  2 Ru 2.80
Y3 0.6965 0.1965 0.5000  2 Ru 2.80
Ru1 0.5000 0.5000 0.0000  4 Y 2.80

---

No. 5
The following is a PBE calculation of a relaxed structure of Y2Ru3, from Alexandria.

- E_form (eV per atom) = 0.095
- DOS at the Fermi energy (states/eV/cell) = 6.67
- symmetry = P-3m1 (164)
- ρ (g cm⁻³) = 7.6

a = 4.4377 Å, b = 4.4377 Å, c = 6.1599 Å
α = 90.00°, β = 90.00°, γ = 120.00°
With the nearest neighbours (Å) after each atom.
Atoms (fractional coordinates):
Y1 0.3333 0.6667 0.1780  4 Ru 2.76-2.83
Y2 0.6667 0.3333 0.8220  4 Ru 2.76-2.83
Ru1 0.0000 0.0000 0.5000  6 Ru 2.68
Ru2 0.3333 0.6667 0.6257  6 Ru 2.68-2.99, 4 Y 2.76-2.83
Ru3 0.6667 0.3333 0.3743  6 Ru 2.68-2.99, 4 Y 2.76-2.83

---

No. 6
The following is a PBE calculation of a relaxed structure of Y3Ru, from Alexandria.

- E_form (eV per atom) = 0.099
- DOS at the Fermi energy (states/eV/cell) = 3.55
- symmetry = Cmmm (65)
- ρ (g cm⁻³) = 6.2

a = 4.9495 Å, b = 4.9495 Å, c = 4.0536 Å
α = 90.00°, β = 90.00°, γ = 90.14°
With the nearest neighbours (Å) after each atom.
Atoms (fractional coordinates):
Y1 0.0000 0.0000 0.0000  8 Y 3.20, 4 Ru 3.50
Y2 0.0000 0.5000 0.5000  4 Ru 3.20, 8 Y 3.20-3.50
Y3 0.5000 0.0000 0.5000  4 Ru 3.20, 8 Y 3.20-3.50
Ru1 0.5000 0.5000 0.0000  12 Y 3.20-3.50